No. 1
First-principles (PBE) data for a relaxed Pa2SiPt crystal, as listed in the Alexandria database.

Output
E_tot: -0.603 Ry per atom

a = 3.7261 Å, b = 3.7261 Å, c = 6.0133 Å
α = 90.00°, β = 90.00°, γ = 90.00°
Space group P4/mmm (No. 123)
One atom of each set of equivalent atoms:
Pa: 0.0000 0.0000 0.2425 x2
Si: 0.5000 0.5000 0.0000 x1
Pt: 0.5000 0.5000 0.5000 x1


No. 2
First-principles (PBE) data for a relaxed Pa3Si3Pt2 crystal, as listed in the Alexandria database.

Output
E_tot: -0.586 Ry per atom

a = 4.2183 Å, b = 10.4302 Å, c = 14.1768 Å
α = 90.00°, β = 90.00°, γ = 90.00°
Space group Cmcm (No. 63)
One atom of each set of equivalent atoms:
Pa: 0.0000 0.0852 0.1149 x8
Pa: 0.0000 0.3681 0.2500 x4
Si: 0.0000 0.3518 0.7500 x4
Si: 0.0000 0.3919 0.0376 x8
Pt: 0.0000 0.2060 0.6026 x8


No. 3
First-principles (PBE) data for a relaxed Pa2Si2Pt crystal, as listed in the Alexandria database.

Output
Relative energy among the computed polymorphs: 0 meV/atom

a = 10.3647 Å, b = 4.2524 Å, c = 10.1342 Å
α = 90.00°, β = 117.30°, γ = 90.00°
Space group C2/m (No. 12)
One atom of each set of equivalent atoms:
Pa: 0.0053 0.0000 0.3234 x4
Pa: 0.1860 0.0000 0.1036 x4
Si: 0.0286 0.5000 0.8909 x4
Si: 0.1352 0.5000 0.5610 x4
Pt: 0.2208 0.5000 0.3407 x4


No. 4
First-principles (PBE) data for a relaxed Sm2PaSi3Pt4 crystal, as listed in the Alexandria database.

Output
E_tot: -0.508 Ry per atom

a = 4.2641 Å, b = 4.2641 Å, c = 10.8936 Å
α = 90.00°, β = 90.00°, γ = 90.00°
Space group P-4m2 (No. 115)
One atom of each set of equivalent atoms:
Sm: 0.0000 0.5000 0.2228 x2
Pa: 0.0000 0.0000 0.5000 x1
Si: 0.0000 0.5000 0.8818 x2
Si: 0.5000 0.5000 0.5000 x1
Pt: 0.0000 0.0000 0.0000 x1
Pt: 0.0000 0.5000 0.6626 x2
Pt: 0.5000 0.5000 0.0000 x1